Entry from the Alexandria database: a relaxed PtRh2Cl crystal (PBE).

extended XYZ file:
```
4
Lattice="-0.6397 -3.2382 1.9881 0.9536 -1.4352 3.4465 -5.2304 1.8734 3.3979" Properties=species:S:1:pos:R:3 pbc="T T T"
Rh -5.2247 1.8399 3.4332
Rh -2.4639 -1.3665 4.3810
Pt -1.2291 -0.7000 2.2081
Cl -3.6873 -2.1000 6.6244
```

## Properties
Total magnetization = 0.0006 μB per atom
Offset from the most stable computed form = 0.719 eV per formula unit
E_form (uncorrected) = 388.4 meV per atom
Final energy = -5.26 eV per atom
Crystal system = monoclinic